1.
Sm3Tl2Cd3: relaxed, GGA-PBE.

Summary:
Energy   -0.2187 Ry/atom
Offset from the most stable computed form   0.0 meV/atom
Energy of formation from the pure elements   -0.27 eV/atom
Crystal system   hexagonal

a b c (Å): 7.6406 7.6406 4.4301
angles (deg): 90.00 90.00 120.00
Space group P-62m (No. 189)
One atom of each set of equivalent atoms:
Sm 0.0000 0.3951 0.0000 (multiplicity 3)
Tl 0.3333 0.6667 0.5000 (multiplicity 2)
Cd 0.0000 0.7735 0.5000 (multiplicity 3)

---

2.
SmTl2Cd: relaxed, GGA-PBE.

Summary:
Energy   -0.2115 Ry/atom
Offset from the most stable computed form   0.0 meV/atom
Energy of formation from the pure elements   -0.29 eV/atom
Crystal system   tetragonal

a b c (Å): 4.7825 4.7825 4.6361
angles (deg): 90.00 90.00 90.00
Space group P4/mmm (No. 123)
One atom of each set of equivalent atoms:
Sm 0.0000 0.0000 0.0000 (multiplicity 1)
Tl 0.0000 0.5000 0.5000 (multiplicity 2)
Cd 0.5000 0.5000 0.0000 (multiplicity 1)

---

3.
Sm12Tl2Cd5: relaxed, GGA-PBE.

Summary:
Energy   -0.2661 Ry/atom
Energy of formation from the pure elements   -0.15 eV/atom
Crystal system   monoclinic

a b c (Å): 12.9552 10.6542 8.4396
angles (deg): 90.00 103.69 90.00
Space group C2/m (No. 12)
One atom of each set of equivalent atoms:
Sm 0.0875 0.0000 0.2146 (multiplicity 4)
Sm 0.1061 0.2336 0.8942 (multiplicity 8)
Sm 0.1343 0.5000 0.6425 (multiplicity 4)
Sm 0.1761 0.3080 0.3096 (multiplicity 8)
Tl 0.0000 0.2331 0.5000 (multiplicity 4)
Cd 0.0000 0.5000 0.0000 (multiplicity 2)
Cd 0.1324 0.0000 0.6121 (multiplicity 4)
Cd 0.2360 0.5000 0.0257 (multiplicity 4)

---

4.
SmTlCd2: relaxed, GGA-PBE.

Summary:
Energy   -0.1323 Ry/atom
Offset from the most stable computed form   711.7 meV/atom
Energy of formation from the pure elements   0.43 eV/atom
Crystal system   hexagonal

a b c (Å): 5.1713 5.1713 5.9354
angles (deg): 90.00 90.00 120.00
Space group P-6m2 (No. 187)
One atom of each set of equivalent atoms:
Sm 0.0000 0.0000 0.0000 (multiplicity 1)
Tl 0.6667 0.3333 0.5000 (multiplicity 1)
Cd 0.0000 0.0000 0.5000 (multiplicity 1)
Cd 0.3333 0.6667 0.5000 (multiplicity 1)